Here is Ho6CdRu after structural relaxation from the Alexandria database. Energies are from PBE-GGA.

abc: 6.802 6.823 7.421
angles: 90.19 117.04 119.89
Space group P-1 (No. 2)
Unique sites:
Ho1 0.042 0.082 0.257 (multiplicity 2)
Ho2 0.297 0.715 0.256 (multiplicity 2)
Ho3 0.323 0.539 0.744 (multiplicity 2)
Cd1 0.500 0.000 0.000 (multiplicity 1)
Ru1 0.500 0.500 0.500 (multiplicity 1)

Calculated values
As for the total energy: -4.69 eV/atom. Its density of states at the Fermi level is 1.32 states/eV per atom. The value obtained for the density is 7.87 g cm⁻³.